## P
Crystalline Na3VO3 at its relaxed geometry, computed with PBE+U.

Properties
M_tot ... 4.0 Bohr magnetons per cell

a = 5.928 Å, b = 6.033 Å, c = 6.466 Å
α = 63.49°, β = 88.95°, γ = 88.25°
Fractional positions:
Na1 0.070 0.234 0.256
Na2 0.362 0.721 0.015
Na3 0.429 0.744 0.545
Na4 0.571 0.256 0.455
Na5 0.638 0.279 0.985
Na6 0.930 0.766 0.744
V1 0.129 0.306 0.695
V2 0.871 0.694 0.305
O1 0.186 0.575 0.370
O2 0.246 0.028 0.656
O3 0.265 0.392 0.906
O4 0.735 0.608 0.094
O5 0.754 0.972 0.344
O6 0.814 0.425 0.630

## Q
Crystalline Na3VO3 at its relaxed geometry, computed with PBE+U.

Properties
M_tot ... 8.0 Bohr magnetons per cell

a = 8.775 Å, b = 8.775 Å, c = 6.157 Å
α = 110.15°, β = 110.15°, γ = 76.76°
Fractional positions:
Na1 0.057 0.943 0.750
Na2 0.136 0.269 0.079
Na3 0.220 0.780 0.250
Na4 0.269 0.136 0.579
Na5 0.326 0.495 0.950
Na6 0.495 0.326 0.450
Na7 0.505 0.674 0.550
Na8 0.674 0.505 0.050
Na9 0.731 0.864 0.421
Na10 0.780 0.220 0.750
Na11 0.864 0.731 0.921
Na12 0.943 0.057 0.250
V1 0.076 0.587 0.409
V2 0.413 0.924 0.091
V3 0.587 0.076 0.909
V4 0.924 0.413 0.591
O1 0.018 0.211 0.662
O2 0.068 0.592 0.729
O3 0.211 0.018 0.162
O4 0.273 0.510 0.319
O5 0.408 0.932 0.771
O6 0.490 0.727 0.181
O7 0.510 0.273 0.819
O8 0.592 0.068 0.229
O9 0.727 0.490 0.681
O10 0.789 0.982 0.838
O11 0.932 0.408 0.271
O12 0.982 0.789 0.338

## R
Crystalline Na3VO3 at its relaxed geometry, computed with PBE+U.

Properties
M_tot ... 8.0 Bohr magnetons per cell

a = 6.134 Å, b = 10.503 Å, c = 6.341 Å
α = 90.00°, β = 92.49°, γ = 90.00°
Fractional positions:
Na1 0.015 0.206 0.023
Na2 0.015 0.294 0.523
Na3 0.154 0.537 0.869
Na4 0.154 0.963 0.369
Na5 0.434 0.220 0.390
Na6 0.434 0.280 0.890
Na7 0.566 0.720 0.110
Na8 0.566 0.780 0.610
Na9 0.846 0.037 0.631
Na10 0.846 0.463 0.131
Na11 0.985 0.706 0.477
Na12 0.985 0.794 0.977
V1 0.337 0.510 0.321
V2 0.337 0.990 0.821
V3 0.663 0.010 0.179
V4 0.663 0.490 0.679
O1 0.209 0.654 0.195
O2 0.209 0.846 0.695
O3 0.220 0.130 0.668
O4 0.220 0.370 0.168
O5 0.350 0.053 0.117
O6 0.350 0.447 0.617
O7 0.650 0.553 0.383
O8 0.650 0.947 0.883
O9 0.780 0.630 0.832
O10 0.780 0.870 0.332
O11 0.791 0.154 0.305
O12 0.791 0.346 0.805

## S
Crystalline Na3VO3 at its relaxed geometry, computed with PBE+U.

Properties
M_tot ... 0.1 Bohr magnetons per cell

a = 9.115 Å, b = 9.133 Å, c = 4.714 Å
α = 90.00°, β = 90.00°, γ = 90.00°
Fractional positions:
Na1 0.122 0.131 0.000
Na2 0.132 0.877 0.500
Na3 0.140 0.640 0.000
Na4 0.360 0.140 0.500
Na5 0.368 0.377 0.000
Na6 0.378 0.631 0.500
Na7 0.622 0.369 0.500
Na8 0.632 0.623 0.000
Na9 0.640 0.860 0.500
Na10 0.860 0.360 0.000
Na11 0.868 0.123 0.500
Na12 0.878 0.869 0.000
V1 0.119 0.381 0.500
V2 0.381 0.881 0.000
V3 0.619 0.119 0.000
V4 0.881 0.619 0.500
O1 0.098 0.597 0.500
O2 0.107 0.182 0.500
O3 0.181 0.893 0.000
O4 0.319 0.393 0.500
O5 0.393 0.682 0.000
O6 0.402 0.097 0.000
O7 0.598 0.903 0.000
O8 0.607 0.318 0.000
O9 0.681 0.607 0.500
O10 0.819 0.107 0.000
O11 0.893 0.818 0.500
O12 0.902 0.403 0.500

Energies in eV/atom, measured from the most stable structure: P 0.000; Q 0.009; R 0.020; S 0.052.